Crystalline YZr3Ru at its relaxed geometry, computed with PBE-GGA.

- N(E_F) (states/eV per cell) = 8.07
- distance to the lowest polymorph of the same formula (kJ/mol of atoms) = 160.8
- M_tot (μB/f.u.) = 0.00
- formation energy from the elements (eV per atom) = 1.80

a = 5.011 Å, b = 5.011 Å, c = 5.011 Å
α = 90.00°, β = 90.00°, γ = 90.00°
Space group Pm-3m (No. 221)
One atom of each set of equivalent atoms:
Y1 0.000 0.000 0.000 x1
Zr1 0.000 0.000 0.500 x3
Ru1 0.500 0.500 0.500 x1